Here is a relaxed EuMgSi4 crystal from Alexandria via LeMat-Bulk. Energies are from PBE-GGA.

Geometry as CIF:
```
data_EuMgSi4
_cell_length_a 5.313
_cell_length_b 5.313
_cell_length_c 5.313
_cell_angle_alpha 60.00
_cell_angle_beta 60.00
_cell_angle_gamma 60.00
_space_group_name_H-M_alt 'P 1'
_space_group_IT_number 1
loop_
_space_group_symop_operation_xyz
'x,y,z'
loop_
_atom_site_label
_atom_site_type_symbol
_atom_site_fract_x
_atom_site_fract_y
_atom_site_fract_z
_atom_site_occupancy
Eu1 Eu 0.250 0.250 0.250 1
Si1 Si 0.628 0.628 0.115 1
Si2 Si 0.628 0.115 0.628 1
Si3 Si 0.628 0.628 0.628 1
Si4 Si 0.115 0.628 0.628 1
Mg1 Mg 0.000 0.000 0.000 1
```

Values from the calculation:
* total energy: -34.40 eV for the cell shown
* M_tot: 1.15 μB per atom